A relaxed Sr3ZrFe2O8 crystal. Source: the Alexandria database, functional PBE+U.

a b c (Å): 5.837 5.837 7.256
angles (deg): 90.00 90.00 120.00
Site moments in Bohr magnetons follow the coordinates.
Atoms (fractional coordinates):
O 0.834 0.166 0.675  0.11
O 0.834 0.669 0.675  0.11
O 0.669 0.834 0.325  0.11
O 0.333 0.667 0.954  0.22
O 0.667 0.333 0.046  0.22
O 0.166 0.834 0.325  0.11
O 0.166 0.331 0.325  0.11
O 0.331 0.166 0.675  0.11
Zr 0.000 0.000 0.500  0.10
Fe 0.333 0.667 0.201  4.22
Fe 0.667 0.333 0.799  4.22
Sr 0.333 0.667 0.641  0.01
Sr 0.667 0.333 0.359  0.01
Sr 0.000 0.000 0.000  -0.01

Output
Crystal system: trigonal
Symmetry: No. 164
Total magnetization, μB/atom: 0.714
DFT total energy, eV per formula unit: -98.506
Density of states at the Fermi level, states/eV/atom: 0.000